AcSm4HoEr2: relaxed, PBE.

* Fermi-level density of states: 11.7 states/eV/f.u.
* formation enthalpy at 0 K: 0.035 eV/atom

Lattice parameters (Å, degrees): 5.113 5.142 10.286 90.00 90.00 90.00
Space group Pmmm (No. 47)
One atom of each set of equivalent atoms:
Ac (0.000, 0.000, 0.000)
Sm (0.000, 0.500, 0.258)
Sm (0.500, 0.000, 0.259)
Ho (0.500, 0.500, 0.500)
Er (0.000, 0.000, 0.500)
Er (0.500, 0.500, 0.000)

***

Sm3YCu4: relaxed, PBE.

* Fermi-level density of states: 5.5 states/eV/f.u.
* formation enthalpy at 0 K: -0.193 eV/atom

Lattice parameters (Å, degrees): 9.996 7.041 5.001 90.00 90.00 90.00
Space group Pmma (No. 51)
One atom of each set of equivalent atoms:
Sm (0.000, 0.000, 0.000)
Sm (0.250, 0.000, 0.499)
Sm (0.250, 0.500, 0.499)
Y (0.000, 0.500, 0.000)
Cu (0.000, 0.255, 0.500)
Cu (0.250, 0.255, 0.998)

***

Pm7NdPb4: relaxed, PBE.

* Fermi-level density of states: 12.1 states/eV/f.u.
* formation enthalpy at 0 K: -0.162 eV/atom

Lattice parameters (Å, degrees): 14.047 5.939 11.391 90.00 123.91 90.00
Space group C2/m (No. 12)
One atom of each set of equivalent atoms:
Pm (0.000, 0.000, 0.000)
Pm (0.051, 0.500, 0.369)
Pm (0.175, 0.000, 0.591)
Pm (0.210, 0.500, 0.891)
Nd (0.000, 0.500, 0.000)
Pb (0.073, 0.000, 0.771)
Pb (0.205, 0.000, 0.325)

***

TaAsP: relaxed, PBE.

* Fermi-level density of states: 0.6 states/eV/f.u.
* formation enthalpy at 0 K: -0.430 eV/atom

Lattice parameters (Å, degrees): 3.589 3.589 7.660 90.00 90.00 90.00
Space group P4/nmm (No. 129, origin choice 2)
One atom of each set of equivalent atoms:
Ta (0.250, 0.250, 0.242)
As (0.250, 0.250, 0.617)
P (0.250, 0.750, 0.000)

***

Na3PbF: relaxed, PBE.

* Fermi-level density of states: 1.7 states/eV/f.u.
* energy relative to the elements, uncorrected: -1078.9 meV per atom

Lattice parameters (Å, degrees): 4.841 4.841 4.841 90.00 90.00 90.00
Space group Pm-3m (No. 221)
One atom of each set of equivalent atoms:
Na (0.000, 0.000, 0.500)
Pb (0.500, 0.500, 0.500)
F (0.000, 0.000, 0.000)

***

InPS2N: relaxed, PBE.

* Fermi-level density of states: 3.3 states/eV/f.u.
* energy relative to the elements, uncorrected: 896.1 meV per atom

Lattice parameters (Å, degrees): 4.518 4.518 3.888 90.00 90.00 90.00
Space group P4/mmm (No. 123)
One atom of each set of equivalent atoms:
In (0.000, 0.000, 0.000)
P (0.500, 0.500, 0.000)
S (0.000, 0.500, 0.500)
N (0.500, 0.500, 0.500)